Record 1
MgZn2Rh | GGA-PBEsol | optimized geometry

Computed properties:
**Density**: 7.5 Mg/m³
**Space group**: No. 119
**Crystal system**: tetragonal
**Formation enthalpy at 0 K**: -7.51 kcal/mol of atoms
**E_tot**: -3.580 eV per atom

Lattice parameters (Å, degrees): 3.752 3.747 4.852 112.77 112.79 89.93
Positions (direct):
Zn 0.750 0.250 0.500
Zn 0.000 0.000 0.000
Rh 0.250 0.750 0.500
Mg 0.500 0.500 0.000


Record 2
MgZn2Rh2 | GGA-PBEsol | optimized geometry

Computed properties:
**Density**: 8.1 Mg/m³
**Space group**: No. 127
**Relative energy among the computed polymorphs**: 0.00 eV/f.u.
**Crystal system**: tetragonal
**Formation enthalpy at 0 K**: -7.40 kcal/mol of atoms
**E_tot**: -4.552 eV per atom

Lattice parameters (Å, degrees): 3.083 6.923 6.923 90.00 90.00 90.00
Positions (direct):
Zn 0.500 0.345 0.155
Zn 0.500 0.655 0.845
Zn 0.500 0.155 0.655
Zn 0.500 0.845 0.345
Mg 0.000 0.500 0.500
Mg 0.000 0.000 0.000
Rh 0.000 0.142 0.358
Rh 0.000 0.642 0.142
Rh 0.000 0.358 0.858
Rh 0.000 0.858 0.642


Record 3
MgZnRh | GGA-PBEsol | optimized geometry

Computed properties:
**Density**: 7.4 Mg/m³
**Space group**: No. 38
**Crystal system**: orthorhombic
**Formation enthalpy at 0 K**: -9.09 kcal/mol of atoms
**E_tot**: -4.207 eV per atom

Lattice parameters (Å, degrees): 3.072 4.270 6.798 90.00 103.06 90.00
Positions (direct):
Mg 0.135 0.500 0.269
Mg 0.935 0.000 0.870
Zn 0.606 0.000 0.212
Zn 0.808 0.500 0.617
Rh 0.267 0.000 0.534
Rh 0.470 0.500 0.940